(1)
VASP calculation (PBE-GGA) on a relaxed structure of Ba2Hg7Sb.

The value obtained for the density of states at the Fermi level is 5.82 states/eV per cell. Its total magnetization is 0.00 μB per formula unit. The calculation puts the uncorrected formation energy at -0.35 eV/atom.

Geometry as CIF:
```
data_Ba2Hg7Sb
_cell_length_a 4.9456
_cell_length_b 4.9456
_cell_length_c 12.6009
_cell_angle_alpha 90.00
_cell_angle_beta 90.00
_cell_angle_gamma 90.00
_symmetry_space_group_name_H-M 'P -4 m 2'
_symmetry_Int_Tables_number 115
loop_
_symmetry_equiv_pos_as_xyz
'x,y,z'
'y,-x,-z'
'-x,-y,z'
'-y,x,-z'
'-x,y,z'
'-y,-x,-z'
'x,-y,z'
'y,x,-z'
loop_
_atom_site_label
_atom_site_type_symbol
_atom_site_fract_x
_atom_site_fract_y
_atom_site_fract_z
_atom_site_occupancy
Ba1 Ba 0.0000 0.5000 0.2422 1
Hg1 Hg 0.0000 0.0000 0.0000 1
Hg2 Hg 0.0000 0.0000 0.5000 1
Hg3 Hg 0.0000 0.5000 0.6358 1
Hg4 Hg 0.0000 0.5000 0.8634 1
Hg5 Hg 0.5000 0.5000 0.5000 1
Sb1 Sb 0.5000 0.5000 0.0000 1
```



(2)
VASP calculation (PBE-GGA) on a relaxed structure of BaHgSb2.

The value obtained for the density of states at the Fermi level is 4.33 states/eV per cell. Its total magnetization is 0.00 μB per formula unit. The calculation puts the uncorrected formation energy at -0.52 eV/atom.

Geometry as CIF:
```
data_BaHgSb2
_cell_length_a 9.4828
_cell_length_b 4.9509
_cell_length_c 11.2971
_cell_angle_alpha 90.00
_cell_angle_beta 90.00
_cell_angle_gamma 90.00
_symmetry_space_group_name_H-M 'P n m a'
_symmetry_Int_Tables_number 62
loop_
_symmetry_equiv_pos_as_xyz
'x,y,z'
'-x,-y,-z'
'-x+1/2,-y,z+1/2'
'x+1/2,y,-z+1/2'
'x+1/2,-y+1/2,-z+1/2'
'-x+1/2,y+1/2,z+1/2'
'-x,y+1/2,-z'
'x,-y+1/2,z'
loop_
_atom_site_label
_atom_site_type_symbol
_atom_site_fract_x
_atom_site_fract_y
_atom_site_fract_z
_atom_site_occupancy
Ba1 Ba 0.1573 0.2500 0.2293 1
Hg1 Hg 0.1628 0.7500 0.0025 1
Sb1 Sb 0.0413 0.2500 0.5840 1
Sb2 Sb 0.1069 0.2500 0.8572 1
```



(3)
VASP calculation (PBE-GGA) on a relaxed structure of BaHgSb2.

The value obtained for the density of states at the Fermi level is 2.00 states/eV per cell. Its total magnetization is 0.00 μB per formula unit. The calculation puts the uncorrected formation energy at -0.31 eV/atom.

Geometry as CIF:
```
data_BaHgSb2
_cell_length_a 3.5957
_cell_length_b 6.1750
_cell_length_c 6.2382
_cell_angle_alpha 67.01
_cell_angle_beta 89.78
_cell_angle_gamma 89.81
_symmetry_space_group_name_H-M 'P -1'
_symmetry_Int_Tables_number 2
loop_
_symmetry_equiv_pos_as_xyz
'x,y,z'
'-x,-y,-z'
loop_
_atom_site_label
_atom_site_type_symbol
_atom_site_fract_x
_atom_site_fract_y
_atom_site_fract_z
_atom_site_occupancy
Ba1 Ba 0.0000 0.0000 0.0000 1
Hg1 Hg 0.0000 0.5000 0.5000 1
Sb1 Sb 0.5000 0.0000 0.5000 1
Sb2 Sb 0.5000 0.5000 0.0000 1
```



(4)
VASP calculation (PBE-GGA) on a relaxed structure of Ba4Hg5Sb6.

The value obtained for the density of states at the Fermi level is 9.17 states/eV per cell. Its total magnetization is 0.00 μB per formula unit. The calculation puts the uncorrected formation energy at -0.57 eV/atom.

Geometry as CIF:
```
data_Ba4Hg5Sb6
_cell_length_a 5.0606
_cell_length_b 18.0746
_cell_length_c 11.5295
_cell_angle_alpha 90.00
_cell_angle_beta 102.66
_cell_angle_gamma 90.00
_symmetry_space_group_name_H-M 'P 1 21 1'
_symmetry_Int_Tables_number 4
loop_
_symmetry_equiv_pos_as_xyz
'x,y,z'
'-x,y+1/2,-z'
loop_
_atom_site_label
_atom_site_type_symbol
_atom_site_fract_x
_atom_site_fract_y
_atom_site_fract_z
_atom_site_occupancy
Ba1 Ba 0.0302 0.0000 0.0597 1
Ba2 Ba 0.0432 0.2624 0.0859 1
Ba3 Ba 0.1640 0.7956 0.3275 1
Ba4 Ba 0.1754 0.4622 0.3516 1
Hg1 Hg 0.1640 0.1290 0.3281 1
Hg2 Hg 0.3167 0.1173 0.6301 1
Hg3 Hg 0.3402 0.7973 0.6802 1
Hg4 Hg 0.3531 0.4611 0.7072 1
Hg5 Hg 0.4668 0.1534 0.9315 1
Sb1 Sb 0.0915 0.6260 0.1853 1
Sb2 Sb 0.2116 0.9829 0.4224 1
Sb3 Sb 0.2244 0.2687 0.4491 1
Sb4 Sb 0.4065 0.6293 0.8132 1
Sb5 Sb 0.4356 0.9152 0.8705 1
Sb6 Sb 0.4502 0.3433 0.9002 1
```